Here is a crystal of ZrIr2Rh relaxed with PBEsol from the Alexandria database. Energies are from SCAN.

Cell lengths 3.9269, 3.9269, 4.8271 Å; angles 114.00, 114.00, 90.00 degrees
Last column: nearest neighbours and their distance in Å.
Fractional positions:
Rh 0.0000 0.0000 0.0000  4 Zr 2.78, 8 Ir 2.78
Zr 0.5000 0.5000 0.0000  4 Rh 2.78, 8 Ir 2.78
Ir 0.7500 0.2500 0.5000  4 Ir 2.78, 4 Zr 2.78, 4 Rh 2.78
Ir 0.2500 0.7500 0.5000  4 Ir 2.78, 4 Zr 2.78, 4 Rh 2.78

Computed properties:
Magnetic moment = 0.000 μB/f.u.
Calculated total energy = -52.339 eV/atom
Energy of formation from the pure elements = -0.67 eV/atom
Fermi-level density of states = 3.404 states/eV per cell

Here is a crystal of LaZrCd2B relaxed with PBEsol from the Alexandria database. Energies are from SCAN.

Cell lengths 5.1349, 5.7399, 5.7399 Å; angles 90.00, 90.00, 90.00 degrees
Last column: nearest neighbours and their distance in Å.
Fractional positions:
Zr 0.5000 0.0000 0.0000  2 La 2.57
Cd 0.0000 0.5000 0.0000  2 La 2.87
Cd 0.0000 0.0000 0.5000  2 La 2.87
La 0.0000 0.0000 0.0000  2 Zr 2.57, 4 Cd 2.87
B 0.5000 0.5000 0.5000  8 Cd 3.85, 4 Zr 4.06

Computed properties:
Magnetic moment = 0.455 μB/f.u.
Calculated total energy = -26.277 eV/atom
Energy of formation from the pure elements = 2.14 eV/atom
Fermi-level density of states = 4.949 states/eV per cell

Q: The lowest Fermi-level density of states belongs to which entry?
A: ZrIr2Rh

Q: Which of these has the lowest magnetic moment?
A: ZrIr2Rh